Record 1
Here is a relaxed HgPb crystal from the Alexandria database. Energies are from PBE.

## Properties
The density of states at the Fermi level is 0.96 states/eV/f.u. The calculation puts the formation energy from the elements at 118.1 meV per atom. The value obtained for the density is 10.9 g/cm³.

Cell lengths 4.4289, 4.4289, 7.3134 Å; angles 90.00, 90.00, 120.00 degrees
With the nearest neighbours (Å) after each atom.
Element x y z (fractional)
1 Hg 0.0000 0.0000 0.5000  6 Pb 3.14
2 Hg 0.0000 0.0000 0.0000  6 Pb 3.14
3 Pb 0.3333 0.6667 0.2500  6 Hg 3.14
4 Pb 0.6667 0.3333 0.7500  6 Hg 3.14


Record 2
Here is a relaxed Hg7Pb crystal from the Alexandria database. Energies are from PBE.

## Properties
The density of states at the Fermi level is 3.21 states/eV/f.u. The calculation puts the formation energy from the elements at 24.9 meV per atom. The value obtained for the density is 12.2 g/cm³.

Cell lengths 6.7712, 6.7712, 6.7712 Å; angles 60.00, 60.00, 60.00 degrees
With the nearest neighbours (Å) after each atom.
Element x y z (fractional)
1 Hg 0.5000 0.0000 0.0000  10 Hg 3.39, 2 Pb 3.39
2 Hg 0.0000 0.5000 0.5000  10 Hg 3.39, 2 Pb 3.39
3 Hg 0.5000 0.5000 0.5000  12 Hg 3.39
4 Hg 0.5000 0.5000 0.0000  2 Pb 3.39, 10 Hg 3.39
5 Hg 0.0000 0.0000 0.5000  10 Hg 3.39, 2 Pb 3.39
6 Hg 0.5000 0.0000 0.5000  10 Hg 3.39, 2 Pb 3.39
7 Hg 0.0000 0.5000 0.0000  10 Hg 3.39, 2 Pb 3.39
8 Pb 0.0000 0.0000 0.0000  12 Hg 3.39


Record 3
Here is a relaxed HgPb4 crystal from the Alexandria database. Energies are from PBE.

## Properties
The density of states at the Fermi level is 2.19 states/eV/f.u. The calculation puts the formation energy from the elements at 25.9 meV per atom. The offset from the most stable computed form is 19 meV per atom. The value obtained for the density is 11.1 g/cm³.

Cell lengths 14.9589, 14.9589, 14.9589 Å; angles 13.28, 13.28, 13.28 degrees
With the nearest neighbours (Å) after each atom.
Element x y z (fractional)
1 Pb 0.2005 0.2005 0.2005  12 Pb 3.46-3.68
2 Pb 0.7995 0.7995 0.7995  12 Pb 3.46-3.68
3 Pb 0.3967 0.3967 0.3967  3 Hg 3.45, 9 Pb 3.46-3.68
4 Pb 0.6033 0.6033 0.6033  3 Hg 3.45, 9 Pb 3.46-3.68
5 Hg 0.0000 0.0000 0.0000  6 Pb 3.45, 6 Hg 3.46


Record 4
Here is a relaxed Hg2Pb3 crystal from the Alexandria database. Energies are from PBE.

## Properties
The density of states at the Fermi level is 1.34 states/eV/f.u. The calculation puts the formation energy from the elements at 24.0 meV per atom. The offset from the most stable computed form is 0 meV per atom. The value obtained for the density is 11.4 g/cm³.

Cell lengths 15.3491, 15.3491, 15.3491 Å; angles 12.56, 12.56, 12.56 degrees
With the nearest neighbours (Å) after each atom.
Element x y z (fractional)
1 Pb 0.7976 0.7976 0.7976  6 Pb 3.36, 3 Hg 3.54
2 Pb 0.2024 0.2024 0.2024  6 Pb 3.36, 3 Hg 3.54
3 Pb 0.0000 0.0000 0.0000  6 Pb 3.36, 6 Hg 3.59
4 Hg 0.3995 0.3995 0.3995  6 Hg 3.36, 6 Pb 3.54-3.59
5 Hg 0.6005 0.6005 0.6005  6 Hg 3.36, 6 Pb 3.54-3.59


Record 5
Here is a relaxed Hg2Pb crystal from the Alexandria database. Energies are from PBE.

## Properties
The density of states at the Fermi level is 0.92 states/eV/f.u. The calculation puts the formation energy from the elements at 33.3 meV per atom. The offset from the most stable computed form is 7 meV per atom. The value obtained for the density is 12.1 g/cm³.

Cell lengths 6.3922, 6.3922, 8.0997 Å; angles 74.45, 74.45, 31.77 degrees
With the nearest neighbours (Å) after each atom.
Element x y z (fractional)
1 Hg 0.6098 0.6098 0.2782  9 Hg 3.29-3.50, 3 Pb 3.35-3.39
2 Hg 0.3347 0.3347 0.3330  9 Hg 3.29-3.50, 3 Pb 3.35-3.39
3 Hg 0.9961 0.9961 0.0079  5 Pb 3.31-3.49, 7 Hg 3.32-3.50
4 Hg 0.9483 0.9483 0.6033  5 Pb 3.31-3.49, 7 Hg 3.32-3.50
5 Pb 0.2738 0.2738 0.9496  8 Hg 3.31-3.49, 4 Pb 3.43-3.50
6 Pb 0.6707 0.6707 0.6615  8 Hg 3.31-3.49, 4 Pb 3.43-3.50


Record 6
Here is a relaxed Hg5Pb3 crystal from the Alexandria database. Energies are from PBE.

## Properties
The density of states at the Fermi level is 3.50 states/eV/f.u. The calculation puts the formation energy from the elements at 72.9 meV per atom. The offset from the most stable computed form is 57 meV per atom. The value obtained for the density is 11.7 g/cm³.

Cell lengths 6.1822, 9.1616, 9.1616 Å; angles 83.46, 70.28, 70.28 degrees
With the nearest neighbours (Å) after each atom.
Element x y z (fractional)
1 Hg 0.7550 0.1873 0.3026  4 Pb 3.13-3.44, 3 Hg 3.40
2 Hg 0.2450 0.8127 0.6974  4 Pb 3.13-3.44, 3 Hg 3.40
3 Hg 0.7450 0.6974 0.8127  4 Pb 3.13-3.44, 3 Hg 3.40
4 Hg 0.0576 0.6974 0.1873  4 Pb 3.13-3.44, 3 Hg 3.40
5 Hg 0.2550 0.3026 0.1873  4 Pb 3.13-3.44, 3 Hg 3.40
6 Hg 0.2500 0.5000 0.5000  2 Hg 3.09
7 Hg 0.9424 0.3026 0.8127  4 Pb 3.13-3.44, 3 Hg 3.40
8 Hg 0.5576 0.1873 0.6974  4 Pb 3.13-3.44, 3 Hg 3.40
9 Hg 0.7500 0.5000 0.5000  2 Hg 3.09
10 Hg 0.4424 0.8127 0.3026  4 Pb 3.13-3.44, 3 Hg 3.40
11 Pb 0.8087 0.8827 0.5000  4 Hg 3.13
12 Pb 0.1913 0.1173 0.5000  4 Hg 3.13
13 Pb 0.7500 0.0000 0.0000  2 Pb 3.09, 8 Hg 3.44
14 Pb 0.2500 0.0000 0.0000  2 Pb 3.09, 8 Hg 3.44
15 Pb 0.6913 0.5000 0.1173  4 Hg 3.13
16 Pb 0.3087 0.5000 0.8827  4 Hg 3.13


Record 7
Here is a relaxed Hg24Pb5 crystal from the Alexandria database. Energies are from PBE.

## Properties
The density of states at the Fermi level is 10.03 states/eV/f.u. The calculation puts the formation energy from the elements at 46.2 meV per atom. The value obtained for the density is 12.3 g/cm³.

Cell lengths 10.0767, 10.0767, 10.0767 Å; angles 109.47, 109.47, 109.47 degrees
With the nearest neighbours (Å) after each atom.
Element x y z (fractional)
1 Hg 0.6125 0.8058 0.6125  8 Hg 3.10-3.34
2 Hg 0.2756 0.5875 0.5875  7 Hg 3.10-3.41, 1 Pb 3.33
3 Hg 0.1933 0.0000 0.3875  8 Hg 3.10-3.34
4 Hg 0.3875 0.0000 0.1933  8 Hg 3.10-3.34
5 Hg 0.3118 0.7244 0.3118  7 Hg 3.10-3.41, 1 Pb 3.33
6 Hg 0.1933 0.3875 0.0000  8 Hg 3.10-3.34
7 Hg 0.0000 0.4125 0.6882  7 Hg 3.10-3.41, 1 Pb 3.33
8 Hg 0.3875 0.1933 0.0000  8 Hg 3.10-3.34
9 Hg 0.6882 0.4125 0.0000  7 Hg 3.10-3.41, 1 Pb 3.33
10 Hg 0.8058 0.6125 0.6125  8 Hg 3.10-3.34
11 Hg 0.4125 0.6882 0.0000  7 Hg 3.10-3.41, 1 Pb 3.33
12 Hg 0.0000 0.1933 0.3875  8 Hg 3.10-3.34
13 Hg 0.0000 0.3875 0.1933  8 Hg 3.10-3.34
14 Hg 0.8067 0.1942 0.8067  8 Hg 3.10-3.34
15 Hg 0.8067 0.8067 0.1942  8 Hg 3.10-3.34
16 Hg 0.3118 0.3118 0.7244  7 Hg 3.10-3.41, 1 Pb 3.33
17 Hg 0.1942 0.8067 0.8067  8 Hg 3.10-3.34
18 Hg 0.6882 0.0000 0.4125  7 Hg 3.10-3.41, 1 Pb 3.33
19 Hg 0.6125 0.6125 0.8058  8 Hg 3.10-3.34
20 Hg 0.5875 0.2756 0.5875  7 Hg 3.10-3.41, 1 Pb 3.33
21 Hg 0.7244 0.3118 0.3118  7 Hg 3.10-3.41, 1 Pb 3.33
22 Hg 0.0000 0.6882 0.4125  7 Hg 3.10-3.41, 1 Pb 3.33
23 Hg 0.5875 0.5875 0.2756  7 Hg 3.10-3.41, 1 Pb 3.33
24 Hg 0.4125 0.0000 0.6882  7 Hg 3.10-3.41, 1 Pb 3.33
25 Pb 0.0000 0.0000 0.0000  4 Pb 3.36, 12 Hg 3.74
26 Pb 0.0000 0.6665 0.0000  9 Hg 3.33-3.49, 1 Pb 3.36
27 Pb 0.6665 0.0000 0.0000  9 Hg 3.33-3.49, 1 Pb 3.36
28 Pb 0.0000 0.0000 0.6665  9 Hg 3.33-3.49, 1 Pb 3.36
29 Pb 0.3335 0.3335 0.3335  9 Hg 3.33-3.49, 1 Pb 3.36


Record 8
Here is a relaxed HgPb crystal from the Alexandria database. Energies are from PBE.

## Properties
The density of states at the Fermi level is 0.89 states/eV/f.u. The calculation puts the formation energy from the elements at 30.0 meV per atom. The value obtained for the density is 12.0 g/cm³.

Cell lengths 6.4332, 6.4332, 6.4332 Å; angles 145.65, 130.61, 61.55 degrees
With the nearest neighbours (Å) after each atom.
Element x y z (fractional)
1 Hg 0.7604 0.2604 0.5000  2 Hg 3.17, 6 Pb 3.30-3.36
2 Hg 0.9896 0.9896 0.0000  2 Hg 3.17, 6 Pb 3.30-3.36
3 Pb 0.2405 0.7405 0.5000  6 Hg 3.30-3.36, 2 Pb 3.53
4 Pb 0.5095 0.5095 0.0000  6 Hg 3.30-3.36, 2 Pb 3.53


Record 9
Here is a relaxed Hg3Pb crystal from the Alexandria database. Energies are from PBE.

## Properties
The density of states at the Fermi level is 1.36 states/eV/f.u. The calculation puts the formation energy from the elements at 35.8 meV per atom. The value obtained for the density is 12.2 g/cm³.

Cell lengths 6.3078, 6.3078, 6.3078 Å; angles 146.58, 126.40, 64.65 degrees
With the nearest neighbours (Å) after each atom.
Element x y z (fractional)
1 Pb 0.2500 0.7500 0.5000  8 Hg 3.28-3.37, 2 Pb 3.63
2 Hg 0.9940 0.9940 0.0000  6 Hg 3.17-3.38, 2 Pb 3.28
3 Hg 0.5060 0.5060 0.0000  6 Hg 3.17-3.38, 2 Pb 3.28
4 Hg 0.7500 0.2500 0.5000  4 Hg 3.17, 4 Pb 3.37


Record 10
Here is a relaxed HgPb crystal from the Alexandria database. Energies are from PBE.

## Properties
The density of states at the Fermi level is 0.84 states/eV/f.u. The calculation puts the formation energy from the elements at 30.1 meV per atom. The value obtained for the density is 12.0 g/cm³.

Cell lengths 6.1644, 6.1644, 6.1644 Å; angles 135.71, 135.71, 64.43 degrees
With the nearest neighbours (Å) after each atom.
Element x y z (fractional)
1 Pb 0.7500 0.2500 0.5000  8 Hg 3.29-3.49, 4 Pb 3.49
2 Pb 0.5000 0.5000 0.0000  8 Hg 3.29-3.49, 4 Pb 3.49
3 Hg 0.0000 0.0000 0.0000  8 Pb 3.29-3.49, 4 Hg 3.49
4 Hg 0.2500 0.7500 0.5000  8 Pb 3.29-3.49, 4 Hg 3.49


Record 11
Here is a relaxed HgPb crystal from the Alexandria database. Energies are from PBE.

## Properties
The density of states at the Fermi level is 0.71 states/eV/f.u. The calculation puts the formation energy from the elements at 31.6 meV per atom. The value obtained for the density is 11.9 g/cm³.

Cell lengths 3.7386, 3.7659, 9.0159 Å; angles 63.71, 90.00, 90.00 degrees
With the nearest neighbours (Å) after each atom.
Element x y z (fractional)
1 Pb 0.2500 0.8981 0.8573  4 Hg 3.30-3.37, 4 Pb 3.50-3.53
2 Pb 0.7500 0.1019 0.1427  4 Hg 3.30-3.37, 4 Pb 3.50-3.53
3 Hg 0.7500 0.6452 0.6078  4 Hg 3.13-3.22, 4 Pb 3.30-3.37
4 Hg 0.2500 0.3548 0.3922  4 Hg 3.13-3.22, 4 Pb 3.30-3.37


Record 12
Here is a relaxed HgPb crystal from the Alexandria database. Energies are from PBE.

## Properties
The density of states at the Fermi level is 1.04 states/eV/f.u. The calculation puts the formation energy from the elements at 34.2 meV per atom. The value obtained for the density is 11.8 g/cm³.

Cell lengths 3.3748, 5.9553, 17.1637 Å; angles 90.00, 90.00, 90.00 degrees
With the nearest neighbours (Å) after each atom.
Element x y z (fractional)
1 Hg 0.5000 0.8353 0.5000  6 Pb 3.28-3.50, 6 Hg 3.37-3.58
2 Hg 0.0000 0.6162 0.3328  6 Pb 3.28-3.43, 6 Hg 3.37-3.58
3 Hg 0.0000 0.1647 0.0000  6 Pb 3.28-3.50, 6 Hg 3.37-3.58
4 Hg 0.5000 0.3838 0.8328  6 Pb 3.28-3.43, 6 Hg 3.37-3.58
5 Hg 0.5000 0.3838 0.1672  6 Pb 3.28-3.43, 6 Hg 3.37-3.58
6 Hg 0.0000 0.6162 0.6672  6 Pb 3.28-3.43, 6 Hg 3.37-3.58
7 Pb 0.5000 0.6505 0.0000  6 Hg 3.28-3.50, 6 Pb 3.37-3.58
8 Pb 0.5000 0.1144 0.3350  6 Hg 3.28-3.43, 6 Pb 3.37-3.64
9 Pb 0.0000 0.8856 0.1650  6 Hg 3.28-3.43, 6 Pb 3.37-3.64
10 Pb 0.0000 0.3495 0.5000  6 Hg 3.28-3.50, 6 Pb 3.37-3.58
11 Pb 0.5000 0.1144 0.6650  6 Hg 3.28-3.43, 6 Pb 3.37-3.64
12 Pb 0.0000 0.8856 0.8350  6 Hg 3.28-3.43, 6 Pb 3.37-3.64


Number 1: E -0.069 hartree per atom. Number 2: E -0.026 hartree per atom. Number 3: E -0.110 hartree per atom. Number 4: E -0.085 hartree per atom. Number 5: E -0.052 hartree per atom. Number 6: E -0.055 hartree per atom. Number 7: E -0.031 hartree per atom. Number 8: E -0.073 hartree per atom. Number 9: E -0.041 hartree per atom. Number 10: E -0.073 hartree per atom. Number 11: E -0.073 hartree per atom. Number 12: E -0.072 hartree per atom.